Entry 1:
# TlZn2FeRe

A relaxed structure of TlZn2FeRe (GGA-PBE, the Alexandria database).

- Offset from the most stable computed form: 0 meV/atom
- DFT formation energy: 133.4 kJ per mole of atoms
- Density: 7870 kg/m³
- DOS at the Fermi energy: 1.808 states/eV/atom

abc: 4.8346 4.8346 5.2113
angles: 90.00 90.00 90.00
Space group P4/mmm (No. 123)
Unique sites:
1 Tl 0.0000 0.0000 0.0000 (multiplicity 1)
2 Zn 0.0000 0.5000 0.5000 (multiplicity 2)
3 Fe 0.5000 0.5000 0.0000 (multiplicity 1)
4 Re 0.0000 0.0000 0.5000 (multiplicity 1)



Entry 2:
# KAu3Br

A relaxed structure of KAu3Br (GGA-PBE, the Alexandria database).

- Offset from the most stable computed form: 0 meV/atom
- Density: 7480 kg/m³
- DOS at the Fermi energy: 0.351 states/eV/atom
- Raw formation energy: 0.369 eV/atom

abc: 5.4015 5.4015 5.4015
angles: 90.00 90.00 90.00
Space group Pm-3m (No. 221)
Unique sites:
1 K 0.0000 0.0000 0.0000 (multiplicity 1)
2 Au 0.0000 0.5000 0.5000 (multiplicity 3)
3 Br 0.5000 0.5000 0.5000 (multiplicity 1)



Entry 3:
# YBeMo2

A relaxed structure of YBeMo2 (GGA-PBE, the Alexandria database).

- DFT formation energy: 33.7 kJ per mole of atoms
- Density: 6517 kg/m³
- DOS at the Fermi energy: 0.625 states/eV/atom

abc: 8.9079 3.3752 5.1598
angles: 90.00 107.83 90.00
Space group C2/m (No. 12)
Unique sites:
1 Y 0.0000 0.0000 0.0000 (multiplicity 2)
2 Be 0.0000 0.5000 0.5000 (multiplicity 2)
3 Mo 0.2047 0.0000 0.6329 (multiplicity 4)



Entry 4:
# KRb2Ru

A relaxed structure of KRb2Ru (GGA-PBE, the Alexandria database).

- Offset from the most stable computed form: 0 meV/atom
- DFT formation energy: 105.7 kJ per mole of atoms
- Density: 2984 kg/m³
- DOS at the Fermi energy: 1.526 states/eV/atom

abc: 8.8473 8.8473 8.8473
angles: 90.00 90.00 90.00
Space group Fm-3m (No. 225)
Unique sites:
1 K 0.0000 0.0000 0.0000 (multiplicity 4)
2 Rb 0.2500 0.2500 0.2500 (multiplicity 8)
3 Ru 0.0000 0.0000 0.5000 (multiplicity 4)



Entry 5:
# LiAc2SmO5

A relaxed structure of LiAc2SmO5 (GGA-PBE, the Alexandria database).

- Density: 8423 kg/m³
- DOS at the Fermi energy: 0.072 states/eV/atom
- Raw formation energy: -2.947 eV/atom

abc: 3.7593 3.7593 9.6430
angles: 90.00 90.00 90.00
Space group P4/mmm (No. 123)
Unique sites:
1 Li 0.0000 0.0000 0.0000 (multiplicity 1)
2 Ac 0.5000 0.5000 0.1787 (multiplicity 2)
3 Sm 0.0000 0.0000 0.5000 (multiplicity 1)
4 O 0.0000 0.0000 0.2668 (multiplicity 2)
5 O 0.0000 0.5000 0.0000 (multiplicity 2)
6 O 0.5000 0.5000 0.5000 (multiplicity 1)



Entry 6:
# Tb2TaGe3Pt4

A relaxed structure of Tb2TaGe3Pt4 (GGA-PBE, the Alexandria database).

- DFT formation energy: -82.2 kJ per mole of atoms
- Density: 12990 kg/m³
- DOS at the Fermi energy: 0.756 states/eV/atom

abc: 4.1919 4.1919 10.8905
angles: 90.00 90.00 90.00
Space group P-4m2 (No. 115)
Unique sites:
1 Tb 0.0000 0.5000 0.2321 (multiplicity 2)
2 Ta 0.0000 0.0000 0.5000 (multiplicity 1)
3 Ge 0.0000 0.5000 0.8626 (multiplicity 2)
4 Ge 0.5000 0.5000 0.5000 (multiplicity 1)
5 Pt 0.0000 0.0000 0.0000 (multiplicity 1)
6 Pt 0.0000 0.5000 0.6391 (multiplicity 2)
7 Pt 0.5000 0.5000 0.0000 (multiplicity 1)



Entry 7:
# BaMg2Sn2Hg2

A relaxed structure of BaMg2Sn2Hg2 (GGA-PBE, the Alexandria database).

- DFT formation energy: -29.5 kJ per mole of atoms
- Density: 7006 kg/m³
- DOS at the Fermi energy: 0.409 states/eV/atom

abc: 4.9871 4.9871 27.2181
angles: 90.00 90.00 120.00
Space group R-3m (No. 166, hexagonal axes)
Unique sites:
1 Ba 0.0000 0.0000 0.0000 (multiplicity 3)
2 Mg 0.0000 0.0000 0.1403 (multiplicity 6)
3 Sn 0.0000 0.0000 0.2528 (multiplicity 6)
4 Hg 0.0000 0.0000 0.4429 (multiplicity 6)



Entry 8:
# FeCo2Pd2

A relaxed structure of FeCo2Pd2 (GGA-PBE, the Alexandria database).

- DFT formation energy: 18.6 kJ per mole of atoms
- Density: 9392 kg/m³
- DOS at the Fermi energy: 0.769 states/eV/atom

abc: 5.9840 5.9840 3.8170
angles: 90.00 90.00 90.00
Space group P4/mbm (No. 127)
Unique sites:
1 Fe 0.0000 0.0000 0.0000 (multiplicity 2)
2 Co 0.1332 0.3668 0.0000 (multiplicity 4)
3 Pd 0.1680 0.6680 0.5000 (multiplicity 4)



Number 1: calculated total energy -18.9 eV for the cell shown. Number 2: calculated total energy -10.8 eV for the cell shown. Number 3: calculated total energy -60.9 eV for the cell shown. Number 4: calculated total energy -31.7 eV for the cell shown. Number 5: calculated total energy -66.2 eV for the cell shown. Number 6: calculated total energy -67.6 eV for the cell shown. Number 7: calculated total energy -47.6 eV for the cell shown. Number 8: calculated total energy -64.2 eV for the cell shown.